Entry 1:
# TlAgTe2

A relaxed TlAgTe2 crystal (PBEsol, the Alexandria database).

a b c (Å): 4.2340 4.2340 20.8237
angles (deg): 90.00 90.00 120.00
With the nearest neighbours (Å) after each atom.
Space group R-3m (No. 166, hexagonal axes)
Asymmetric unit:
1 Tl 0.0000 0.0000 0.0000 [3 per cell]  6 Te 3.14
2 Ag 0.0000 0.0000 0.5000 [3 per cell]  6 Te 2.87
3 Te 0.0000 0.0000 0.2387 [6 per cell]  3 Ag 2.87, 3 Tl 3.14

Output
**Total energy**: -3.3277 eV per atom

Entry 2:
# CsInSi2

A relaxed CsInSi2 crystal (PBEsol, the Alexandria database).

a b c (Å): 5.1956 5.1956 18.7050
angles (deg): 90.00 90.00 90.00
With the nearest neighbours (Å) after each atom.
Space group I4_1/amd (No. 141, origin choice 2)
Asymmetric unit:
1 Cs 0.0000 0.2500 0.3750 [4 per cell]  4 In 3.67, 8 Si 3.73
2 In 0.0000 0.2500 0.8750 [4 per cell]  4 Si 2.67
3 Si 0.0000 0.0000 0.0000 [8 per cell]  2 Si 2.60, 2 In 2.67

Output
**Total energy**: -3.5018 eV per atom

Entry 3:
# Co2AuCl

A relaxed Co2AuCl crystal (PBEsol, the Alexandria database).

a b c (Å): 2.9696 2.9696 6.7979
angles (deg): 90.00 90.00 90.00
With the nearest neighbours (Å) after each atom.
Space group P4mm (No. 99)
Asymmetric unit:
1 Co 0.0000 0.0000 0.0000 [1 per cell]  4 Co 2.39, 4 Cl 2.50
2 Co 0.5000 0.5000 0.1674 [1 per cell]  4 Co 2.39, 1 Cl 2.49, 4 Au 2.65
3 Au 0.0000 0.0000 0.4052 [1 per cell]  5 Co 2.65-2.75
4 Cl 0.5000 0.5000 0.8012 [1 per cell]  5 Co 2.49-2.50

Output
**Polymorph energy (0 for the lowest one)**: 0 meV per atom

Entry 4:
# Sc3AuN

A relaxed Sc3AuN crystal (PBEsol, the Alexandria database).

a b c (Å): 6.1874 8.6326 6.1781
angles (deg): 90.00 90.00 90.00
With the nearest neighbours (Å) after each atom.
Space group Imma (No. 74)
Asymmetric unit:
1 Sc 0.0000 0.2500 0.0702 [4 per cell]  2 N 2.20
2 Sc 0.2500 0.0367 0.7500 [8 per cell]  2 N 2.21
3 Au 0.0000 0.2500 0.5065 [4 per cell]  5 Sc 2.70-2.84
4 N 0.0000 0.0000 0.0000 [4 per cell]  6 Sc 2.20-2.21

Output
**Total energy**: -7.7373 eV per atom

Entry 5:
# GeHF2

A relaxed GeHF2 crystal (PBEsol, the Alexandria database).

a b c (Å): 2.8979 2.8979 18.1740
angles (deg): 90.00 90.00 120.00
With the nearest neighbours (Å) after each atom.
Space group R-3m (No. 166, hexagonal axes)
Asymmetric unit:
1 Ge 0.0000 0.0000 0.0000 [3 per cell]  6 F 2.52
2 H 0.0000 0.0000 0.5000 [3 per cell]  2 F 1.14
3 F 0.0000 0.0000 0.4371 [6 per cell]  1 H 1.14

Output
**Polymorph energy (0 for the lowest one)**: 0 meV per atom

Entry 6:
# ScCu2Pb

A relaxed ScCu2Pb crystal (PBEsol, the Alexandria database).

a b c (Å): 3.2013 3.2013 6.8946
angles (deg): 90.00 90.00 90.00
With the nearest neighbours (Å) after each atom.
Space group P4mm (No. 99)
Asymmetric unit:
1 Sc 0.0000 0.0000 0.0000 [1 per cell]  5 Cu 2.74-2.78
2 Cu 0.0000 0.0000 0.6031 [1 per cell]  4 Cu 2.52, 1 Sc 2.74
3 Cu 0.5000 0.5000 0.7651 [1 per cell]  4 Cu 2.52, 4 Sc 2.78
4 Pb 0.5000 0.5000 0.3348 [1 per cell]  5 Cu 2.92-2.97, 4 Pb 3.20, 4 Sc 3.23

Output
**Total energy**: -4.8416 eV per atom

Entry 7:
# BeCuRu2

A relaxed BeCuRu2 crystal (PBEsol, the Alexandria database).

a b c (Å): 2.7049 2.7049 6.2811
angles (deg): 90.00 90.00 90.00
With the nearest neighbours (Å) after each atom.
Space group P4mm (No. 99)
Asymmetric unit:
1 Be 0.0000 0.0000 0.0000 [1 per cell]  4 Cu 2.28, 4 Ru 2.43
2 Cu 0.5000 0.5000 0.1981 [1 per cell]  4 Be 2.28
3 Ru 0.0000 0.0000 0.4910 [1 per cell]  8 Ru 2.56-2.70, 4 Cu 2.65
4 Ru 0.5000 0.5000 0.7608 [1 per cell]  4 Be 2.43, 8 Ru 2.56-2.70

Output
**Total energy**: -7.2162 eV per atom

Entry 8:
# Li5Ir

A relaxed Li5Ir crystal (PBEsol, the Alexandria database).

a b c (Å): 4.3508 9.0070 4.3375
angles (deg): 90.00 90.00 90.00
With the nearest neighbours (Å) after each atom.
Space group Cmmm (No. 65)
Asymmetric unit:
1 Li 0.0000 0.0000 0.0000 [2 per cell]  8 Li 2.55-2.63
2 Li 0.0000 0.1650 0.5000 [4 per cell]  6 Li 2.63-2.74, 2 Ir 2.63
3 Li 0.0000 0.3514 0.0000 [4 per cell]  2 Ir 2.55, 7 Li 2.55-2.84
4 Ir 0.0000 0.5000 0.5000 [2 per cell]  8 Li 2.55-2.63

Output
**Polymorph energy (0 for the lowest one)**: 62 meV per atom

Entry 9:
# Sr2Au3

A relaxed Sr2Au3 crystal (PBEsol, the Alexandria database).

a b c (Å): 4.7025 4.7025 21.0528
angles (deg): 90.00 90.00 120.00
With the nearest neighbours (Å) after each atom.
Space group R-3m (No. 166, hexagonal axes)
Asymmetric unit:
1 Sr 0.0000 0.0000 0.0886 [6 per cell]  9 Au 3.17-3.38
2 Au 0.0000 0.0000 0.3400 [6 per cell]  3 Au 2.73
3 Au 0.0000 0.0000 0.5000 [3 per cell]  6 Sr 3.17, 2 Au 3.37

Output
**Total energy**: -3.7305 eV per atom

Entry 10:
# MnHg2Sb

A relaxed MnHg2Sb crystal (PBEsol, the Alexandria database).

a b c (Å): 3.0125 4.4907 12.7403
angles (deg): 90.00 90.00 90.00
With the nearest neighbours (Å) after each atom.
Space group Immm (No. 71)
Asymmetric unit:
1 Mn 0.0000 0.0000 0.0000 [2 per cell]  4 Sb 2.70, 4 Hg 2.88, 2 Mn 3.01
2 Hg 0.0000 0.5000 0.3070 [4 per cell]  2 Mn 2.88, 6 Hg 3.01-3.07
3 Sb 0.0000 0.0000 0.5000 [2 per cell]  4 Mn 2.70, 2 Sb 3.01

Output
**Total energy**: -3.6278 eV per atom

Entry 11:
# Ir2PtAu

A relaxed Ir2PtAu crystal (PBEsol, the Alexandria database).

a b c (Å): 3.9331 3.9331 7.7182
angles (deg): 90.00 90.00 90.00
With the nearest neighbours (Å) after each atom.
Space group I4/mmm (No. 139)
Asymmetric unit:
1 Ir 0.0000 0.5000 0.2500 [4 per cell]  4 Au 2.76, 4 Pt 2.76, 4 Ir 2.78
2 Pt 0.0000 0.0000 0.0000 [2 per cell]  8 Ir 2.76, 4 Au 2.78
3 Au 0.0000 0.0000 0.5000 [2 per cell]  8 Ir 2.76, 4 Pt 2.78

Output
**Polymorph energy (0 for the lowest one)**: 109 meV per atom

Entry 12:
# Y2HgPt

A relaxed Y2HgPt crystal (PBEsol, the Alexandria database).

a b c (Å): 5.0036 5.0036 3.5622
angles (deg): 90.00 90.00 90.00
With the nearest neighbours (Å) after each atom.
Space group P4/mmm (No. 123)
Asymmetric unit:
1 Y 0.0000 0.5000 0.0000 [2 per cell]  4 Hg 3.07, 4 Pt 3.07
2 Hg 0.0000 0.0000 0.5000 [1 per cell]  8 Y 3.07
3 Pt 0.5000 0.5000 0.5000 [1 per cell]  8 Y 3.07

Output
**Total energy**: -6.1441 eV per atom

Entry 13:
# Tl2CoH

A relaxed Tl2CoH crystal (PBEsol, the Alexandria database).

a b c (Å): 6.3784 6.3784 6.3784
angles (deg): 90.00 90.00 90.00
With the nearest neighbours (Å) after each atom.
Space group Fm-3m (No. 225)
Asymmetric unit:
1 Tl 0.2500 0.2500 0.2500 [8 per cell]  4 H 2.76, 4 Co 2.76
2 Co 0.0000 0.0000 0.0000 [4 per cell]  8 Tl 2.76
3 H 0.0000 0.0000 0.5000 [4 per cell]  8 Tl 2.76

Output
**Total energy**: -3.2921 eV per atom

Entry 14:
# Ta2RuAu

A relaxed Ta2RuAu crystal (PBEsol, the Alexandria database).

a b c (Å): 3.2749 3.2749 6.0986
angles (deg): 90.00 90.00 90.00
With the nearest neighbours (Å) after each atom.
Space group P4mm (No. 99)
Asymmetric unit:
1 Ta 0.0000 0.0000 0.0000 [1 per cell]  4 Ru 2.65, 4 Ta 2.88, 1 Au 2.92
2 Ta 0.5000 0.5000 0.2803 [1 per cell]  4 Au 2.74, 4 Ta 2.88, 1 Ru 2.99
3 Ru 0.5000 0.5000 0.7902 [1 per cell]  4 Ta 2.65, 4 Au 2.84
4 Au 0.0000 0.0000 0.5214 [1 per cell]  5 Ta 2.74-2.92, 4 Ru 2.84

Output
**Polymorph energy (0 for the lowest one)**: 48 meV per atom

Entry 15:
# Ca2YAg2

A relaxed Ca2YAg2 crystal (PBEsol, the Alexandria database).

a b c (Å): 7.7515 7.7515 4.4231
angles (deg): 90.00 90.00 90.00
With the nearest neighbours (Å) after each atom.
Space group P4/mbm (No. 127)
Asymmetric unit:
1 Ca 0.1678 0.3322 0.0000 [4 per cell]  6 Ag 3.14-3.20
2 Y 0.0000 0.0000 0.5000 [2 per cell]  4 Ag 3.05
3 Ag 0.1284 0.6284 0.5000 [4 per cell]  1 Ag 2.81, 2 Y 3.05, 2 Ca 3.14

Output
**Total energy**: -3.7670 eV per atom

Entry 16:
# OsRu4

A relaxed OsRu4 crystal (PBEsol, the Alexandria database).

a b c (Å): 5.5781 5.5781 5.5781
angles (deg): 90.00 90.00 90.00
With the nearest neighbours (Å) after each atom.
Space group Im-3m (No. 229)
Asymmetric unit:
1 Os 0.0000 0.0000 0.0000 [2 per cell]  8 Ru 2.42
2 Ru 0.2500 0.2500 0.2500 [8 per cell]  2 Os 2.42

Output
**Total energy**: -8.9889 eV per atom

Entry 17:
# Bi2IrW

A relaxed Bi2IrW crystal (PBEsol, the Alexandria database).

a b c (Å): 6.2348 6.2348 11.9759
angles (deg): 90.00 90.00 90.00
With the nearest neighbours (Å) after each atom.
Space group I-42d (No. 122)
Asymmetric unit:
1 Bi 0.2375 0.2500 0.1250 [8 per cell]  2 Ir 2.62, 2 W 2.71
2 Ir 0.0000 0.0000 0.0000 [4 per cell]  4 Bi 2.62
3 W 0.0000 0.0000 0.5000 [4 per cell]  4 Bi 2.71

Output
**Total energy**: -6.5174 eV per atom

Entry 18:
# MnAlI2O

A relaxed MnAlI2O crystal (PBEsol, the Alexandria database).

a b c (Å): 5.6358 5.6358 3.6481
angles (deg): 90.00 90.00 90.00
With the nearest neighbours (Å) after each atom.
Space group P4/mmm (No. 123)
Asymmetric unit:
1 Mn 0.0000 0.0000 0.0000 [1 per cell]  2 O 1.82
2 Al 0.5000 0.5000 0.5000 [1 per cell]  8 I 3.36, 2 Al 3.65
3 I 0.0000 0.5000 0.0000 [2 per cell]  2 Mn 2.82
4 O 0.0000 0.0000 0.5000 [1 per cell]  2 Mn 1.82

Output
**Total energy**: -4.8919 eV per atom

Entry 19:
# Sr2CrPb

A relaxed Sr2CrPb crystal (PBEsol, the Alexandria database).

a b c (Å): 4.8084 4.7477 11.8570
angles (deg): 90.00 90.00 90.00
With the nearest neighbours (Å) after each atom.
Space group Amm2 (No. 38)
Asymmetric unit:
1 Sr 0.0000 0.0000 0.0000 [2 per cell]  3 Pb 3.42-3.46, 4 Cr 3.53
2 Sr 0.5000 0.0000 0.2866 [2 per cell]  3 Cr 3.37-3.54, 4 Pb 3.51
3 Cr 0.5000 0.0000 0.5851 [2 per cell]  2 Pb 2.81
4 Pb 0.0000 0.0000 0.7079 [2 per cell]  2 Cr 2.81

Output
**Total energy**: -4.3417 eV per atom

Entry 20:
# Ba2SrIr

A relaxed Ba2SrIr crystal (PBEsol, the Alexandria database).

a b c (Å): 11.1936 4.0924 7.8763
angles (deg): 90.00 112.22 90.00
With the nearest neighbours (Å) after each atom.
Space group Cm (No. 8)
Asymmetric unit:
1 Ba 0.0000 0.0000 0.0000 [2 per cell]  2 Ir 3.04
2 Ba 0.1590 0.0000 0.5983 [2 per cell]  2 Ir 3.03
3 Sr 0.3414 0.0000 0.3022 [2 per cell]  3 Ir 3.17-3.18
4 Ir 0.1249 0.5000 0.3002 [2 per cell]  4 Ba 3.03-3.04, 3 Sr 3.17-3.18

Output
**Polymorph energy (0 for the lowest one)**: 17 meV per atom

Q: Which calculated volume values were calculated for the entries above? A: 323.29; 504.93; 59.95; 329.99; 132.17; 70.66; 45.96; 169.98; 403.18; 172.35; 119.40; 89.19; 259.50; 65.41; 265.77; 173.56; 465.54; 115.87; 270.68; 334.00, in Å³/cell.